# Li4CrTe3O12

A relaxed Li4CrTe3O12 crystal (PBE with a Hubbard U, Alexandria via LeMat-Bulk).

Output
**SG**: P2, No. 3
**Total energy**: -5.676 eV per atom
**Size of the total moment**: 2.5 μB/cell

a b c (Å): 5.021 8.612 5.224
angles (deg): 90.00 90.88 90.00
Sites, in units of the cell vectors:
Li 0.000 0.000 0.000
Li 0.000 0.332 0.500
Li 0.500 0.473 0.500
Li 0.500 0.887 0.000
Cr 0.500 0.084 0.500
Te 0.000 0.579 0.000
Te 0.000 0.786 0.500
Te 0.500 0.257 0.000
O 0.206 0.608 0.337
O 0.208 0.757 0.821
O 0.237 0.928 0.339
O 0.264 0.420 0.838
O 0.297 0.095 0.827
O 0.301 0.260 0.314
O 0.699 0.260 0.686
O 0.703 0.095 0.173
O 0.736 0.420 0.162
O 0.763 0.928 0.661
O 0.792 0.757 0.179
O 0.794 0.608 0.663